MnCrS3 | GGA-PBE | relaxed

Results
Uncorrected formation energy: -2.3 eV/f.u.
Energy above the lowest structure with this stoichiometry: 0.000 eV per atom
Volume: 339.1 Å³ per cell
Magnetic moment: 27.9 μB/cell
VASP energy: -133.79 eV/cell

The structure in CIF format:
```
data_MnCrS3
_chemical_formula_sum 'Mn4 Cr4 S12'
_cell_length_a 6.2475
_cell_length_b 9.2064
_cell_length_c 5.8956
_cell_angle_alpha 90.00
_cell_angle_beta 90.00
_cell_angle_gamma 90.00
_symmetry_space_group_name_H-M 'P n m a'
_symmetry_Int_Tables_number 62
loop_
_symmetry_equiv_pos_as_xyz
'x,y,z'
'-x,-y,-z'
'-x+1/2,-y,z+1/2'
'x+1/2,y,-z+1/2'
'x+1/2,-y+1/2,-z+1/2'
'-x+1/2,y+1/2,z+1/2'
'-x,y+1/2,-z'
'x,-y+1/2,z'
loop_
_atom_site_label
_atom_site_type_symbol
_atom_site_fract_x
_atom_site_fract_y
_atom_site_fract_z
Mn1 Mn 0.0000 0.0000 0.0000
Cr1 Cr 0.0983 0.2500 0.4586
S1 S 0.0556 0.7500 0.1629
S2 S 0.1865 0.5901 0.6879
```

Rb3InS | GGA-PBE | relaxed

Results
Uncorrected formation energy: -1.7 eV/f.u.
Energy above the lowest structure with this stoichiometry: 0.000 eV per atom
Volume: 266.3 Å³ per cell
Magnetic moment: 1.9 μB/cell
VASP energy: -11.51 eV/cell

The structure in CIF format:
```
data_Rb3InS
_chemical_formula_sum 'Rb3 In1 S1'
_cell_length_a 6.4334
_cell_length_b 6.4334
_cell_length_c 6.4334
_cell_angle_alpha 90.00
_cell_angle_beta 90.00
_cell_angle_gamma 90.00
_symmetry_space_group_name_H-M 'P m -3 m'
_symmetry_Int_Tables_number 221
_symmetry_space_group_name_Hall '-P 4 2 3'
loop_
_atom_site_label
_atom_site_type_symbol
_atom_site_fract_x
_atom_site_fract_y
_atom_site_fract_z
Rb1 Rb 0.0000 0.0000 0.5000
In1 In 0.5000 0.5000 0.5000
S1 S 0.0000 0.0000 0.0000
```

Tb2Pm4HoEr | GGA-PBE | relaxed

Results
Volume: 262.1 Å³ per cell
Magnetic moment: 0.0 μB/cell
VASP energy: -37.28 eV/cell
Formation energy: 1 kJ per mole of atoms

The structure in CIF format:
```
data_Tb2Pm4HoEr
_chemical_formula_sum 'Tb2 Pm4 Ho1 Er1'
_cell_length_a 5.0862
_cell_length_b 5.1066
_cell_length_c 10.0914
_cell_angle_alpha 90.00
_cell_angle_beta 90.04
_cell_angle_gamma 90.00
_symmetry_space_group_name_H-M 'P 1 2/m 1'
_symmetry_Int_Tables_number 10
loop_
_symmetry_equiv_pos_as_xyz
'x,y,z'
'-x,-y,-z'
'-x,y,-z'
'x,-y,z'
loop_
_atom_site_label
_atom_site_type_symbol
_atom_site_fract_x
_atom_site_fract_y
_atom_site_fract_z
Tb1 Tb 0.0000 0.0000 0.0000
Tb2 Tb 0.5000 0.5000 0.5000
Pm1 Pm 0.9996 0.5000 0.2495
Pm2 Pm 0.4997 0.0000 0.2500
Ho1 Ho 0.0000 0.0000 0.5000
Er1 Er 0.5000 0.5000 0.0000
```

Tb2Ga3Ni4Ge | GGA-PBE | relaxed

Results
Volume: 164.0 Å³ per cell
Magnetic moment: 0.0 μB/cell
VASP energy: -52.05 eV/cell
Formation energy: -58 kJ per mole of atoms

The structure in CIF format:
```
data_Tb2Ga3Ni4Ge
_chemical_formula_sum 'Tb2 Ga3 Ni4 Ge1'
_cell_length_a 4.0759
_cell_length_b 4.0759
_cell_length_c 9.8724
_cell_angle_alpha 90.00
_cell_angle_beta 90.00
_cell_angle_gamma 90.00
_symmetry_space_group_name_H-M 'P -4 m 2'
_symmetry_Int_Tables_number 115
loop_
_symmetry_equiv_pos_as_xyz
'x,y,z'
'y,-x,-z'
'-x,-y,z'
'-y,x,-z'
'-x,y,z'
'-y,-x,-z'
'x,-y,z'
'y,x,-z'
loop_
_atom_site_label
_atom_site_type_symbol
_atom_site_fract_x
_atom_site_fract_y
_atom_site_fract_z
Tb1 Tb 0.0000 0.5000 0.2486
Ga1 Ga 0.0000 0.0000 0.0000
Ga2 Ga 0.0000 0.5000 0.6284
Ni1 Ni 0.0000 0.0000 0.5000
Ni2 Ni 0.0000 0.5000 0.8690
Ni3 Ni 0.5000 0.5000 0.5000
Ge1 Ge 0.5000 0.5000 0.0000
```

La2SiIr | GGA-PBE | relaxed

Results
Uncorrected formation energy: -1.4 eV/f.u.
Volume: 96.9 Å³ per cell
Magnetic moment: 0.0 μB/cell
VASP energy: -25.52 eV/cell

The structure in CIF format:
```
data_La2SiIr
_chemical_formula_sum 'La2 Si1 Ir1'
_cell_length_a 3.2933
_cell_length_b 3.2933
_cell_length_c 8.9365
_cell_angle_alpha 90.00
_cell_angle_beta 90.00
_cell_angle_gamma 90.00
_symmetry_space_group_name_H-M 'P 4 m m'
_symmetry_Int_Tables_number 99
loop_
_symmetry_equiv_pos_as_xyz
'x,y,z'
'-y,x,z'
'-x,-y,z'
'y,-x,z'
'-x,y,z'
'y,x,z'
'x,-y,z'
'-y,-x,z'
loop_
_atom_site_label
_atom_site_type_symbol
_atom_site_fract_x
_atom_site_fract_y
_atom_site_fract_z
La1 La 0.0000 0.0000 0.0000
La2 La 0.5000 0.5000 0.3963
Si1 Si 0.0000 0.0000 0.6435
Ir1 Ir 0.5000 0.5000 0.7607
```

SrRu3F | GGA-PBE | relaxed

Results
Uncorrected formation energy: 12.5 eV/f.u.
Energy above the lowest structure with this stoichiometry: 1.586 eV per atom
Volume: 131.9 Å³ per cell
Magnetic moment: 6.7 μB/cell
VASP energy: -18.85 eV/cell

The structure in CIF format:
```
data_SrRu3F
_chemical_formula_sum 'Sr1 Ru3 F1'
_cell_length_a 5.0902
_cell_length_b 5.0902
_cell_length_c 5.0902
_cell_angle_alpha 90.00
_cell_angle_beta 90.00
_cell_angle_gamma 90.00
_symmetry_space_group_name_H-M 'P m -3 m'
_symmetry_Int_Tables_number 221
_symmetry_space_group_name_Hall '-P 4 2 3'
loop_
_atom_site_label
_atom_site_type_symbol
_atom_site_fract_x
_atom_site_fract_y
_atom_site_fract_z
Sr1 Sr 0.0000 0.0000 0.0000
Ru1 Ru 0.0000 0.0000 0.5000
F1 F 0.5000 0.5000 0.5000
```